Below is Tl4Cd5 after structural relaxation, with properties calculated at the PBE level.

## Properties
Crystal system: tetragonal
Energy above the most stable polymorph in this dataset (eV/atom): 0.018
Symmetry: I4/mmm, No. 139
ΔE_f (meV per atom): 64
D(E_F) (states/eV per cell): 4.7
Total energy (eV/cell): -13.465

Cell lengths 8.692, 8.692, 8.692 Å; angles 92.12, 92.12, 157.80 degrees
Fractional positions:
Tl1 0.000 0.322 0.322
Tl2 0.000 0.678 0.678
Tl3 0.322 0.000 0.322
Tl4 0.678 0.000 0.678
Cd1 0.000 0.000 0.000
Cd2 0.332 0.332 0.663
Cd3 0.332 0.668 0.000
Cd4 0.668 0.332 0.000
Cd5 0.668 0.668 0.337